Crystalline VBr2F at its relaxed geometry. Source: Alexandria via LeMat-Bulk, functional GGA+U.

The symmetry is No. 166. For the uncorrected energy, the calculation gives -3.86 eV/atom. As for the magnetization: 0.503 μB per atom. As for the energy above the most stable polymorph in this dataset: 548 meV per atom.

POSCAR file:
```
VBr2F
1.0
1.953 1.128 7.636
-1.953 1.128 7.636
0.000 -2.255 7.636
V Br F
1 2 1
Direct
0.000 0.000 0.000
0.395 0.395 0.395
0.605 0.605 0.605
0.500 0.500 0.500
```